Record 1
RbPdNO: relaxed, PBE.

**E above lowest polymorph**: 357.7 meV per atom

Cell: 3.888 3.888 10.298 Å, 90.00 90.00 90.00°
Space group P4/nmm (No. 129, origin choice 2)
Asymmetric unit:
Rb 0.250 0.250 0.184 x2
Pd 0.250 0.750 0.500 x2
N 0.250 0.250 0.576 x2
O 0.250 0.750 0.000 x2

Record 2
AlCoCuHg: relaxed, PBE.

**E above lowest polymorph**: 0.0 meV per atom

Cell: 6.129 6.129 6.129 Å, 90.00 90.00 90.00°
Space group F-43m (No. 216)
Asymmetric unit:
Al 0.000 0.000 0.000 x4
Co 0.250 0.250 0.250 x4
Cu 0.250 0.250 0.750 x4
Hg 0.000 0.000 0.500 x4

Record 3
CsBaNd: relaxed, PBE.

**E above lowest polymorph**: 0.0 meV per atom

Cell: 9.496 9.496 9.496 Å, 90.00 90.00 90.00°
Space group F-43m (No. 216)
Asymmetric unit:
Cs 0.000 0.000 0.000 x4
Ba 0.000 0.000 0.500 x4
Nd 0.250 0.250 0.750 x4

Record 4
GdHf3Si4: relaxed, PBE.

**DFT total energy**: -62.33 eV for the cell shown

Cell: 5.376 3.784 7.173 Å, 90.00 90.86 90.00°
Space group Pm (No. 6)
Asymmetric unit:
Gd 0.000 0.000 0.000 x1
Hf 0.255 0.000 0.500 x1
Hf 0.496 0.500 0.151 x1
Hf 0.748 0.500 0.640 x1
Si 0.012 0.500 0.294 x1
Si 0.241 0.500 0.771 x1
Si 0.511 0.000 0.859 x1
Si 0.731 0.000 0.369 x1